{"formula": "BaDyAg2O4", "functional": "GGA-PBE", "state": "relaxed", "cell": [[6.0057, 0.0000, 0.0000], [0.0000, 6.1940, 0.0000], [0.0000, 0.0000, 7.2688]], "species": ["Ba", "Ba", "Dy", "Dy", "Ag", "Ag", "Ag", "Ag", "O", "O", "O", "O", "O", "O", "O", "O"], "fractional_positions": [[0.0000, 0.0000, 0.0000], [0.5000, 0.5000, 0.5000], [0.0000, 0.0000, 0.5000], [0.5000, 0.5000, 0.0000], [0.0000, 0.5000, 0.2129], [0.0000, 0.5000, 0.7871], [0.5000, 0.0000, 0.2871], [0.5000, 0.0000, 0.7129], [0.2034, 0.1951, 0.3139], [0.2034, 0.8049, 0.6861], [0.2966, 0.3049, 0.8139], [0.2966, 0.6951, 0.1861], [0.7034, 0.3049, 0.1861], [0.7034, 0.6951, 0.8139], [0.7966, 0.1951, 0.6861], [0.7966, 0.8049, 0.3139]], "crystal_system": "orthorhombic", "e_form_raw_ev_per_fu": -13.76, "final_energy_ev_per_atom": -5.73, "total_magnetization_mub_per_fu": 0.00}